Here is a geometry-optimized Rb3Dy2CdS6 structure from the Alexandria database. Energies are from PBE.

Cell lengths 7.0337, 12.1741, 8.0606 Å; angles 90.00, 106.82, 90.00 degrees
With the nearest neighbours (Å) after each atom.
Space group C2/m (No. 12)
One atom of each set of equivalent atoms:
1 Rb 0.0000 0.0000 0.0000  6 S 3.31-3.34
2 Rb 0.0000 0.3359 0.0000  6 S 3.33-3.34
3 Dy 0.0000 0.1670 0.5000  6 S 2.76-2.77
4 Cd 0.0000 0.5000 0.5000  6 S 2.80
5 S 0.2267 0.0000 0.6926  2 Dy 2.77, 1 Cd 2.80
6 S 0.2333 0.3313 0.6936  2 Dy 2.76-2.77, 1 Cd 2.80

Computed properties:
Uncorrected formation energy = -1.3813 eV/atom
Density = 4.5 g/cm³
Density of states at the Fermi level = 28.08 states/eV/cell
M_tot = 0.001 μB/atom